## BaV2Ru (PBE)

Data for BaV2Ru after structural relaxation.

Cell lengths 4.6519, 4.6519, 4.6519 Å; angles 60.00, 60.00, 60.00 degrees
Last column: nearest neighbours and their distance in Å.
Fractional coordinates of all 4 atoms:
Ru: 0.0000 0.0000 0.0000  8 V 2.85
Ba: 0.5000 0.5000 0.5000  8 V 2.85
V: 0.2500 0.2500 0.2500  4 Ba 2.85, 4 Ru 2.85
V: 0.7500 0.7500 0.7500  4 Ba 2.85, 4 Ru 2.85

Properties
Formation enthalpy at 0 K: 4.07 eV/f.u.
Crystal system: cubic
Total moment: 0.99 μB/f.u.
Energy above the lowest structure with this stoichiometry: 0.0968 eV/atom
DFT total energy: -25.4 eV/cell
DOS(E_F): 6.15 states/eV/f.u.

---

## CdGa2GeS6 (PBE)

Data for CdGa2GeS6 after structural relaxation.

Cell lengths 6.7633, 9.3079, 9.3079 Å; angles 88.98, 69.90, 69.90 degrees
Last column: nearest neighbours and their distance in Å.
Fractional coordinates of all 20 atoms:
Cd: 0.2500 0.7337 0.2663  4 S 2.57-2.84
Cd: 0.7500 0.2663 0.7337  4 S 2.57-2.84
Ga: 0.3055 0.7887 0.6478  4 S 2.23-2.38
Ga: 0.1945 0.3522 0.2113  4 S 2.23-2.38
Ga: 0.6945 0.2113 0.3522  4 S 2.23-2.38
Ga: 0.8055 0.6478 0.7887  4 S 2.23-2.38
Ge: 0.2500 0.1956 0.8044  4 S 2.24-2.26
Ge: 0.7500 0.8044 0.1956  4 S 2.24-2.26
S: 0.0874 0.0232 0.8004  1 Ge 2.24, 1 Ga 2.33
S: 0.4126 0.1996 0.9768  1 Ge 2.24, 1 Ga 2.33
S: 0.9126 0.9768 0.1996  1 Ge 2.24, 1 Ga 2.33
S: 0.5874 0.8004 0.0232  1 Ge 2.24, 1 Ga 2.33
S: 0.4221 0.8717 0.3997  1 Ge 2.26, 1 Ga 2.38
S: 0.0779 0.6003 0.1283  1 Ge 2.26, 1 Ga 2.38
S: 0.5779 0.1283 0.6003  1 Ge 2.26, 1 Ga 2.38
S: 0.9221 0.3997 0.8717  1 Ge 2.26, 1 Ga 2.38
S: 0.0329 0.7294 0.5976  2 Ga 2.23-2.28
S: 0.4671 0.4024 0.2706  2 Ga 2.23-2.28
S: 0.9671 0.2706 0.4024  2 Ga 2.23-2.28
S: 0.5329 0.5976 0.7294  2 Ga 2.23-2.28

Properties
Crystal system: monoclinic
ΔE_f (raw): -0.451 eV/atom
Total moment: 0.00 μB/f.u.
DFT total energy: -81.7 eV/cell
DOS(E_F): 0.00 states/eV/f.u.

---

## CaCeHg (PBE)

Data for CaCeHg after structural relaxation.

Cell lengths 3.6949, 5.3114, 5.3114 Å; angles 120.00, 90.00, 90.00 degrees
Last column: nearest neighbours and their distance in Å.
Fractional coordinates of all 3 atoms:
Ca: 0.7494 0.3333 0.6667  3 Hg 3.16, 3 Ce 3.49
Hg: 0.9540 0.0000 0.0000  3 Ca 3.16, 3 Ce 3.32
Ce: 0.2967 0.6667 0.3333  3 Hg 3.32, 6 Ca 3.49-3.67, 2 Ce 3.69

Properties
Formation enthalpy at 0 K: -0.16 eV/f.u.
Crystal system: trigonal
Total moment: 1.20 μB/f.u.
Energy above the lowest structure with this stoichiometry: 0.1287 eV/atom
DFT total energy: -8.4 eV/cell
DOS(E_F): 7.62 states/eV/f.u.

---

## Ca3ReSi (PBE)

Data for Ca3ReSi after structural relaxation.

Cell lengths 5.5405, 5.5405, 5.5405 Å; angles 90.00, 90.00, 90.00 degrees
Last column: nearest neighbours and their distance in Å.
Fractional coordinates of all 5 atoms:
Re: 0.5000 0.5000 0.5000  12 Ca 3.92
Ca: 0.0000 0.5000 0.0000  2 Si 2.77
Ca: 0.0000 0.0000 0.5000  2 Si 2.77
Ca: 0.5000 0.0000 0.0000  2 Si 2.77
Si: 0.0000 0.0000 0.0000  6 Ca 2.77

Properties
Crystal system: cubic
ΔE_f (raw): 0.940 eV/atom
Total moment: 3.19 μB/f.u.
DFT total energy: -19.2 eV/cell
DOS(E_F): 2.97 states/eV/f.u.

---

Which of these has the lowest DOS(E_F)? CdGa2GeS6